Here is Ca3Mg at its PBEsol-relaxed geometry from Alexandria via LeMat-Bulk. Energies are from SCAN.

- ΔH_f (0 K): -6.8 meV/atom
- Crystal system: orthorhombic
- ρ: 1.685 g/cm3
- Calculated total energy: -8.498 eV per atom
- Magnetization: 0.2 μB per cell

```
Ca3Mg
1.0
-2.0551 5.8602 2.9562
2.0551 -5.8602 2.9562
2.0551 5.8602 -2.9562
Ca Mg
3 1
direct
0.0000 0.0000 0.0000
0.2717 0.4988 0.7729
0.7260 0.4988 0.2271
0.5001 0.0001 0.5000
```

***

Here is Tc2SbBr at its PBEsol-relaxed geometry from Alexandria via LeMat-Bulk. Energies are from SCAN.

- Crystal system: tetragonal
- ρ: 8.650 g/cm3
- Excess energy over the best structure of this formula in the dataset: 0 meV/atom
- Formation energy (no corrections): 64 kJ/mol of formula units
- Calculated total energy: -31.545 eV per atom
- Magnetization: 0.0 μB per cell

```
Tc2SbBr
1.0
2.9892 0.0000 0.0000
0.0000 2.9892 0.0000
0.0000 0.0000 8.5435
Tc Sb Br
2 1 1
direct
0.0000 0.0000 0.0000
0.5000 0.5000 0.1867
0.5000 0.5000 0.7777
0.0000 0.0000 0.3883
```

***

Here is CoBrCl at its PBEsol-relaxed geometry from Alexandria via LeMat-Bulk. Energies are from SCAN.

- Crystal system: cubic
- ρ: 4.337 g/cm3
- Excess energy over the best structure of this formula in the dataset: 1222 meV/atom
- Formation energy (no corrections): 188 kJ/mol of formula units
- Calculated total energy: -14.265 eV per atom
- Magnetization: 3.0 μB per cell

```
CoBrCl
1.0
0.0000 3.2194 3.2194
3.2194 0.0000 3.2194
3.2194 3.2194 0.0000
Co Br Cl
1 1 1
direct
0.0000 0.0000 0.0000
0.5000 0.5000 0.5000
0.7500 0.7500 0.7500
```

***

Here is LiZn2Ag at its PBEsol-relaxed geometry from Alexandria via LeMat-Bulk. Energies are from SCAN.

- ΔH_f (0 K): -173.9 meV/atom
- Crystal system: orthorhombic
- ρ: 7.149 g/cm3
- Calculated total energy: -15.371 eV per atom
- Magnetization: 0.0 μB per cell

```
LiZn2Ag
1.0
-1.8477 1.9727 3.9133
1.8477 -1.9727 3.9133
1.8477 1.9727 -3.9133
Li Zn Ag
1 2 1
direct
0.0000 0.0000 0.0000
0.2484 0.7484 0.5000
0.7516 0.2516 0.5000
0.5000 0.5000 0.0000
```

***

Here is CuTe3 at its PBEsol-relaxed geometry from Alexandria via LeMat-Bulk. Energies are from SCAN.

- Crystal system: trigonal
- ρ: 7.575 g/cm3
- Formation energy (no corrections): 13 kJ/mol of formula units
- Calculated total energy: -31.703 eV per atom
- Magnetization: 0.0 μB per cell

```
CuTe3
1.0
1.9908 1.1494 7.1268
-1.9908 1.1494 7.1268
0.0000 -2.2988 7.1268
Cu Te
1 3
direct
0.0000 0.0000 0.0000
0.2687 0.2687 0.2687
0.5000 0.5000 0.5000
0.7313 0.7313 0.7313
```

***

Here is K2CdAu2 at its PBEsol-relaxed geometry from Alexandria via LeMat-Bulk. Energies are from SCAN.

- ΔH_f (0 K): -312.6 meV/atom
- Crystal system: tetragonal
- ρ: 7.142 g/cm3
- Excess energy over the best structure of this formula in the dataset: 0 meV/atom
- Calculated total energy: -37.390 eV per atom
- Magnetization: 0.0 μB per cell

```
K2CdAu2
1.0
7.3677 0.0000 0.0000
0.0000 7.3677 0.0000
0.0000 0.0000 5.0074
K Cd Au
4 2 4
direct
0.1704 0.3296 0.0000
0.3296 0.8296 0.0000
0.6704 0.1704 0.0000
0.8296 0.6704 0.0000
0.0000 0.0000 0.5000
0.5000 0.5000 0.5000
0.1331 0.6331 0.5000
0.3669 0.1331 0.5000
0.6331 0.8669 0.5000
0.8669 0.3669 0.5000
```

***

Here is BaNi2Pt at its PBEsol-relaxed geometry from Alexandria via LeMat-Bulk. Energies are from SCAN.

- ΔH_f (0 K): 442.9 meV/atom
- Crystal system: cubic
- ρ: 10.935 g/cm3
- Calculated total energy: -35.080 eV per atom
- Magnetization: 0.0 μB per cell

```
BaNi2Pt
1.0
0.0000 3.2444 3.2444
3.2444 0.0000 3.2444
3.2444 3.2444 0.0000
Ba Ni Pt
1 2 1
direct
0.0000 0.0000 0.0000
0.2500 0.2500 0.2500
0.7500 0.7500 0.7500
0.5000 0.5000 0.5000
```

***

Here is Ba4SiGeS8 at its PBEsol-relaxed geometry from Alexandria via LeMat-Bulk. Energies are from SCAN.

- Crystal system: orthorhombic
- ρ: 4.123 g/cm3
- Formation energy (no corrections): -2370 kJ/mol of formula units
- Calculated total energy: -20.635 eV per atom
- Magnetization: 0.0 μB per cell

```
Ba4SiGeS8
1.0
6.7278 0.0000 0.0000
0.0000 12.2003 0.0000
0.0000 0.0000 8.8954
Ba Si Ge S
8 2 2 16
direct
0.0000 0.0806 0.0000
0.0000 0.3222 0.6412
0.0000 0.6778 0.1412
0.0000 0.9194 0.5000
0.5000 0.1602 0.3873
0.5000 0.4191 0.0354
0.5000 0.5809 0.5354
0.5000 0.8398 0.8873
0.5000 0.1732 0.7873
0.5000 0.8268 0.2873
0.0000 0.3257 0.2457
0.0000 0.6743 0.7457
0.0000 0.1549 0.3329
0.0000 0.3467 0.0003
0.0000 0.6533 0.5003
0.0000 0.8451 0.8329
0.2443 0.0987 0.6951
0.2443 0.9013 0.1951
0.2699 0.3940 0.3466
0.2699 0.6060 0.8466
0.5000 0.1551 0.0244
0.5000 0.3368 0.7056
0.5000 0.6632 0.2056
0.5000 0.8449 0.5244
0.7301 0.3940 0.3466
0.7301 0.6060 0.8466
0.7557 0.0987 0.6951
0.7557 0.9013 0.1951
```